The following is a DFT calculation (meta-GGA SCAN) of a PBEsol-optimized structure of SbAsIO2.

a b c (Å): 4.161 4.161 5.412
angles (deg): 90.00 90.00 90.00
Fractional coordinates of all 5 atoms:
I 0.000 0.000 0.500
Sb 0.500 0.500 0.500
As 0.000 0.000 0.000
O 0.000 0.500 0.000
O 0.500 0.000 0.000

## Properties
VASP energy: -21.116 eV per atom
Offset from the most stable computed form: 335.5 meV/atom
ρ: 6.3 g cm⁻³
Calculated volume: 93.7 Å³ per cell
Crystal system: tetragonal
Formation energy (no corrections): 214.7 meV/atom

***

The following is a DFT calculation (meta-GGA SCAN) of a PBEsol-optimized structure of MoSICl2.

a b c (Å): 4.689 4.757 4.757
angles (deg): 90.00 90.00 90.00
Fractional coordinates of all 5 atoms:
I 0.500 0.500 0.500
Mo 0.000 0.000 0.000
S 0.500 0.000 0.000
Cl 0.000 0.000 0.500
Cl 0.000 0.500 0.000

## Properties
VASP energy: -19.571 eV per atom
ρ: 5.1 g cm⁻³
Calculated volume: 106.1 Å³ per cell
Crystal system: tetragonal
Formation energy (no corrections): -128.6 meV/atom

***

The following is a DFT calculation (meta-GGA SCAN) of a PBEsol-optimized structure of LiIn2Au.

a b c (Å): 3.620 3.620 5.975
angles (deg): 90.00 90.00 90.00
Fractional coordinates of all 4 atoms:
In 0.000 0.000 0.975
In 0.500 0.500 0.272
Au 0.500 0.500 0.738
Li 0.000 0.000 0.516

## Properties
VASP energy: -34.893 eV per atom
ρ: 9.2 g cm⁻³
Formation energy from the elements: -313 meV/atom
Calculated volume: 78.3 Å³ per cell
Crystal system: tetragonal

***

The following is a DFT calculation (meta-GGA SCAN) of a PBEsol-optimized structure of KInFeBr2.

a b c (Å): 5.738 5.738 6.143
angles (deg): 90.00 90.00 90.00
Fractional coordinates of all 5 atoms:
K 0.000 0.000 0.000
Fe 0.500 0.500 0.500
Br 0.000 0.500 0.000
Br 0.500 0.000 0.000
In 0.000 0.000 0.500

## Properties
VASP energy: -19.495 eV per atom
ρ: 3.0 g cm⁻³
Calculated volume: 202.2 Å³ per cell
Crystal system: tetragonal
Formation energy (no corrections): 257.3 meV/atom

***

The following is a DFT calculation (meta-GGA SCAN) of a PBEsol-optimized structure of Ba2NaS.

a b c (Å): 7.874 7.874 7.874
angles (deg): 108.95 109.73 109.73
Fractional coordinates of all 8 atoms:
Na 0.000 0.500 0.500
Na 0.500 0.250 0.750
S 0.000 0.000 0.000
S 0.500 0.750 0.250
Ba 0.077 0.702 0.125
Ba 0.923 0.048 0.625
Ba 0.423 0.375 0.298
Ba 0.577 0.875 0.952

## Properties
VASP energy: -24.146 eV per atom
ρ: 2.9 g cm⁻³
Calculated volume: 375.7 Å³ per cell
Crystal system: tetragonal
Formation energy (no corrections): -909.8 meV/atom

***

The following is a DFT calculation (meta-GGA SCAN) of a PBEsol-optimized structure of Li4V5O9F.

a b c (Å): 4.808 5.222 7.709
angles (deg): 113.71 102.19 98.13
Fractional coordinates of all 19 atoms:
Li 0.301 0.582 0.090
Li 0.894 0.803 0.316
Li 0.487 0.007 0.493
Li 0.687 0.406 0.891
V 0.995 0.021 0.036
V 0.648 0.199 0.199
V 0.845 0.583 0.591
V 0.169 0.402 0.401
V 0.337 0.772 0.779
O 0.967 0.418 0.153
O 0.558 0.575 0.359
O 0.164 0.807 0.547
O 0.354 0.165 0.959
O 0.642 0.804 0.044
O 0.834 0.186 0.447
O 0.257 0.021 0.247
O 0.463 0.445 0.643
O 0.032 0.618 0.851
F 0.745 0.985 0.761

## Properties
VASP energy: -10.791 eV per atom
ρ: 4.4 g cm⁻³
Calculated volume: 167.6 Å³ per cell
Crystal system: triclinic
Formation energy (no corrections): -2547.9 meV/atom

***

The following is a DFT calculation (meta-GGA SCAN) of a PBEsol-optimized structure of CoCuTe2.

a b c (Å): 3.307 3.698 6.588
angles (deg): 106.30 104.54 90.00
Fractional coordinates of all 4 atoms:
Te 0.964 0.964 0.928
Te 0.196 0.696 0.393
Co 0.535 0.535 0.071
Cu 0.804 0.304 0.608

## Properties
VASP energy: -26.453 eV per atom
Offset from the most stable computed form: 0.0 meV/atom
ρ: 8.4 g cm⁻³
Calculated volume: 74.6 Å³ per cell
Crystal system: orthorhombic
Formation energy (no corrections): 298.4 meV/atom

***

The following is a DFT calculation (meta-GGA SCAN) of a PBEsol-optimized structure of Cu2TeCl.

a b c (Å): 4.515 4.515 4.515
angles (deg): 103.37 112.61 112.61
Fractional coordinates of all 4 atoms:
Te 0.000 0.000 0.000
Cu 0.500 0.750 0.250
Cu 0.500 0.250 0.750
Cl 0.000 0.500 0.500

## Properties
VASP energy: -18.584 eV per atom
Offset from the most stable computed form: 598.2 meV/atom
ρ: 6.9 g cm⁻³
Calculated volume: 70.3 Å³ per cell
Crystal system: tetragonal
Formation energy (no corrections): 322.9 meV/atom